# 1
GGA-PBE Cr2InFe, relaxed; formation enthalpy at 0 K = 361 meV per atom
1.0
-0.724 0.832 4.789
2.311 0.091 4.336
1.181 3.933 1.485
In Cr Fe
1 2 1
Direct
0.247 0.247 0.253
0.022 0.022 0.978
0.748 0.748 0.752
0.482 0.482 0.518

# 2
GGA-PBE CrIn2Fe, relaxed; formation enthalpy at 0 K = 463 meV per atom
1.0
4.776 0.000 -0.004
3.801 2.893 -0.004
1.006 0.339 5.258
Cr In Fe
1 2 1
Direct
0.750 0.750 0.750
0.996 0.996 0.008
0.504 0.504 0.492
0.250 0.250 0.250

# 3
GGA-PBE CrIn2Fe, relaxed; formation enthalpy at 0 K = 281 meV per atom
1.0
-2.811 0.301 -0.933
-0.945 -0.069 2.822
0.702 7.888 0.428
In Fe Cr
2 1 1
Direct
0.500 0.500 0.305
0.000 0.000 0.942
0.500 0.500 0.701
0.000 0.000 0.552

no.,E (eV per atom),M_tot (μB/f.u.)
1,-7.251,1.94
2,-5.428,5.69
3,-5.610,0.25